Below is a relaxed structure of Li4Cr2O, with properties calculated at the PBE with a Hubbard U level.

## Properties
final energy	-30.455	eV/cell
symmetry	I4/mmm, No. 139

Unit cell a=8.515 b=8.515 c=8.515 alpha=154.29 beta=154.29 gamma=36.68
Element x y z (fractional)
Li: 0.000 0.500 0.500
Li: 0.118 0.118 0.000
Li: 0.500 0.000 0.500
Li: 0.882 0.882 0.000
Cr: 0.300 0.300 0.000
Cr: 0.700 0.700 0.000
O: 0.000 0.000 0.000